Record 1
The following is a DFT calculation (SCAN) of a PBEsol-optimized structure of HfMnCoBr2.

Computed properties:
E_form (uncorrected) (eV/atom): 0.5273

The structure in CIF format:
```
data_HfMnCoBr2
_chemical_formula_sum 'Hf1 Mn1 Co1 Br2'
_cell_length_a 4.646
_cell_length_b 4.646
_cell_length_c 4.812
_cell_angle_alpha 90.00
_cell_angle_beta 90.00
_cell_angle_gamma 90.00
_symmetry_space_group_name_H-M 'P 4/m m m'
_symmetry_Int_Tables_number 123
_symmetry_space_group_name_Hall '-P 4 2'
loop_
_atom_site_label
_atom_site_fract_x
_atom_site_fract_y
_atom_site_fract_z
Hf1 0.000 0.000 0.000
Mn1 0.500 0.500 0.000
Co1 0.000 0.000 0.500
Br1 0.000 0.500 0.500
```

Record 2
The following is a DFT calculation (SCAN) of a PBEsol-optimized structure of CoPCl2F.

Computed properties:
E_form (uncorrected) (eV/atom): 0.0147

The structure in CIF format:
```
data_CoPCl2F
_chemical_formula_sum 'Co1 P1 Cl2 F1'
_cell_length_a 4.437
_cell_length_b 4.437
_cell_length_c 4.246
_cell_angle_alpha 90.00
_cell_angle_beta 90.00
_cell_angle_gamma 90.00
_symmetry_space_group_name_H-M 'P 4/m m m'
_symmetry_Int_Tables_number 123
_symmetry_space_group_name_Hall '-P 4 2'
loop_
_atom_site_label
_atom_site_fract_x
_atom_site_fract_y
_atom_site_fract_z
Co1 0.000 0.000 0.000
P1 0.000 0.000 0.500
Cl1 0.000 0.500 0.000
F1 0.500 0.500 0.500
```

Record 3
The following is a DFT calculation (SCAN) of a PBEsol-optimized structure of ZrMoSCl2.

Computed properties:
E_form (uncorrected) (eV/atom): -0.0037

The structure in CIF format:
```
data_ZrMoSCl2
_chemical_formula_sum 'Zr1 Mo1 S1 Cl2'
_cell_length_a 4.671
_cell_length_b 4.671
_cell_length_c 4.623
_cell_angle_alpha 90.00
_cell_angle_beta 90.00
_cell_angle_gamma 90.00
_symmetry_space_group_name_H-M 'P 4/m m m'
_symmetry_Int_Tables_number 123
_symmetry_space_group_name_Hall '-P 4 2'
loop_
_atom_site_label
_atom_site_fract_x
_atom_site_fract_y
_atom_site_fract_z
Zr1 0.000 0.000 0.000
Mo1 0.500 0.500 0.500
S1 0.500 0.500 0.000
Cl1 0.000 0.500 0.500
```

Record 4
The following is a DFT calculation (SCAN) of a PBEsol-optimized structure of Ba2LaCu3O7.

Computed properties:
E_form (uncorrected) (eV/atom): -2.0363
ΔE to the lowest computed polymorph (meV per atom): 0.0

The structure in CIF format:
```
data_Ba2LaCu3O7
_chemical_formula_sum 'Ba2 La1 Cu3 O7'
_cell_length_a 3.866
_cell_length_b 3.906
_cell_length_c 11.651
_cell_angle_alpha 90.00
_cell_angle_beta 90.00
_cell_angle_gamma 90.00
_symmetry_space_group_name_H-M 'P m m m'
_symmetry_Int_Tables_number 47
loop_
_symmetry_equiv_pos_as_xyz
'x,y,z'
'-x,-y,-z'
'-x,-y,z'
'x,y,-z'
'x,-y,-z'
'-x,y,z'
'-x,y,-z'
'x,-y,z'
loop_
_atom_site_label
_atom_site_fract_x
_atom_site_fract_y
_atom_site_fract_z
Ba1 0.000 0.000 0.179
La1 0.000 0.000 0.500
Cu1 0.500 0.500 0.000
Cu2 0.500 0.500 0.342
O1 0.000 0.500 0.366
O2 0.500 0.000 0.000
O3 0.500 0.000 0.366
O4 0.500 0.500 0.159
```

Record 5
The following is a DFT calculation (SCAN) of a PBEsol-optimized structure of NiWSe.

Computed properties:
E_form (uncorrected) (eV/atom): 0.3815

The structure in CIF format:
```
data_NiWSe
_chemical_formula_sum 'Ni1 W1 Se1'
_cell_length_a 2.9618
_cell_length_b 2.9618
_cell_length_c 5.8248
_cell_angle_alpha 90.00
_cell_angle_beta 90.00
_cell_angle_gamma 120.00
_symmetry_space_group_name_H-M 'P 3 m 1'
_symmetry_Int_Tables_number 156
loop_
_symmetry_equiv_pos_as_xyz
'x,y,z'
'-y,x-y,z'
'-x+y,-x,z'
'-y,-x,z'
'-x+y,y,z'
'x,x-y,z'
loop_
_atom_site_label
_atom_site_fract_x
_atom_site_fract_y
_atom_site_fract_z
Ni1 0.0000 0.0000 0.0000
W1 0.3333 0.6667 0.3314
Se1 0.6667 0.3333 0.6548
```

Record 6
The following is a DFT calculation (SCAN) of a PBEsol-optimized structure of CaTaIr2.

Computed properties:
Energy of formation from the pure elements (kcal/mol of atoms): -14.388
ΔE to the lowest computed polymorph (meV per atom): 0.0

The structure in CIF format:
```
data_CaTaIr2
_chemical_formula_sum 'Ca1 Ta1 Ir2'
_cell_length_a 3.102
_cell_length_b 3.102
_cell_length_c 7.435
_cell_angle_alpha 90.00
_cell_angle_beta 90.00
_cell_angle_gamma 90.00
_symmetry_space_group_name_H-M 'P 4/m m m'
_symmetry_Int_Tables_number 123
_symmetry_space_group_name_Hall '-P 4 2'
loop_
_atom_site_label
_atom_site_fract_x
_atom_site_fract_y
_atom_site_fract_z
Ca1 0.000 0.000 0.000
Ta1 0.000 0.000 0.500
Ir1 0.500 0.500 0.294
```

Record 7
The following is a DFT calculation (SCAN) of a PBEsol-optimized structure of LiVIr2.

Computed properties:
Energy of formation from the pure elements (kcal/mol of atoms): -15.714

The structure in CIF format:
```
data_LiVIr2
_chemical_formula_sum 'Li4 V4 Ir8'
_cell_length_a 5.858
_cell_length_b 5.858
_cell_length_c 5.858
_cell_angle_alpha 90.00
_cell_angle_beta 90.00
_cell_angle_gamma 90.00
_symmetry_space_group_name_H-M 'F m -3 m'
_symmetry_Int_Tables_number 225
_symmetry_space_group_name_Hall '-F 4 2 3'
loop_
_atom_site_label
_atom_site_fract_x
_atom_site_fract_y
_atom_site_fract_z
Li1 0.000 0.000 0.000
V1 0.000 0.000 0.500
Ir1 0.250 0.250 0.250
```

Record 8
The following is a DFT calculation (SCAN) of a PBEsol-optimized structure of CdRh3.

Computed properties:
Energy of formation from the pure elements (kcal/mol of atoms): 1.005

The structure in CIF format:
```
data_CdRh3
_chemical_formula_sum 'Cd4 Rh12'
_cell_length_a 4.790
_cell_length_b 8.925
_cell_length_c 5.473
_cell_angle_alpha 90.00
_cell_angle_beta 90.00
_cell_angle_gamma 90.00
_symmetry_space_group_name_H-M 'P n m a'
_symmetry_Int_Tables_number 62
loop_
_symmetry_equiv_pos_as_xyz
'x,y,z'
'-x,-y,-z'
'-x+1/2,-y,z+1/2'
'x+1/2,y,-z+1/2'
'x+1/2,-y+1/2,-z+1/2'
'-x+1/2,y+1/2,z+1/2'
'-x,y+1/2,-z'
'x,-y+1/2,z'
loop_
_atom_site_label
_atom_site_fract_x
_atom_site_fract_y
_atom_site_fract_z
Cd1 0.070 0.250 0.128
Rh1 0.083 0.250 0.638
Rh2 0.233 0.507 0.375
```

Record 9
The following is a DFT calculation (SCAN) of a PBEsol-optimized structure of MnCd2Rh.

Computed properties:
Energy of formation from the pure elements (kcal/mol of atoms): -2.506
ΔE to the lowest computed polymorph (meV per atom): 88.2

The structure in CIF format:
```
data_MnCd2Rh
_chemical_formula_sum 'Mn2 Cd4 Rh2'
_cell_length_a 5.651
_cell_length_b 7.670
_cell_length_c 3.004
_cell_angle_alpha 90.00
_cell_angle_beta 90.00
_cell_angle_gamma 90.00
_symmetry_space_group_name_H-M 'C m m m'
_symmetry_Int_Tables_number 65
_symmetry_space_group_name_Hall '-C 2 2'
loop_
_atom_site_label
_atom_site_fract_x
_atom_site_fract_y
_atom_site_fract_z
Mn1 0.000 0.000 0.000
Cd1 0.250 0.250 0.500
Rh1 0.000 0.500 0.000
```

Record 10
The following is a DFT calculation (SCAN) of a PBEsol-optimized structure of Be2TcAs.

Computed properties:
Energy of formation from the pure elements (kcal/mol of atoms): -2.322

The structure in CIF format:
```
data_Be2TcAs
_chemical_formula_sum 'Be4 Tc2 As2'
_cell_length_a 3.151
_cell_length_b 3.776
_cell_length_c 7.583
_cell_angle_alpha 90.00
_cell_angle_beta 90.00
_cell_angle_gamma 90.00
_symmetry_space_group_name_H-M 'I m m 2'
_symmetry_Int_Tables_number 44
loop_
_symmetry_equiv_pos_as_xyz
'x,y,z'
'-x,-y,z'
'-x,y,z'
'x,-y,z'
'x+1/2,y+1/2,z+1/2'
'-x+1/2,-y+1/2,z+1/2'
'-x+1/2,y+1/2,z+1/2'
'x+1/2,-y+1/2,z+1/2'
loop_
_atom_site_label
_atom_site_fract_x
_atom_site_fract_y
_atom_site_fract_z
Be1 0.000 0.000 0.000
Be2 0.000 0.500 0.273
Tc1 0.000 0.500 0.762
As1 0.000 0.000 0.520
```

Record 11
The following is a DFT calculation (SCAN) of a PBEsol-optimized structure of TcSe2I.

Computed properties:
E_form (uncorrected) (eV/atom): -0.0601

The structure in CIF format:
```
data_TcSe2I
_chemical_formula_sum 'Tc3 Se6 I3'
_cell_length_a 3.6803
_cell_length_b 3.6803
_cell_length_c 24.9632
_cell_angle_alpha 90.00
_cell_angle_beta 90.00
_cell_angle_gamma 120.00
_symmetry_space_group_name_H-M 'R -3 m'
_symmetry_Int_Tables_number 166
_symmetry_space_group_name_Hall '-R 3 2"'
loop_
_atom_site_label
_atom_site_fract_x
_atom_site_fract_y
_atom_site_fract_z
Tc1 0.0000 0.0000 0.0000
Se1 0.0000 0.0000 0.3875
I1 0.0000 0.0000 0.5000
```

Record 12
The following is a DFT calculation (SCAN) of a PBEsol-optimized structure of Ta2CrOs.

Computed properties:
Energy of formation from the pure elements (kcal/mol of atoms): -3.247
ΔE to the lowest computed polymorph (meV per atom): 281.0

The structure in CIF format:
```
data_Ta2CrOs
_chemical_formula_sum 'Ta2 Cr1 Os1'
_cell_length_a 3.123
_cell_length_b 4.301
_cell_length_c 4.492
_cell_angle_alpha 90.00
_cell_angle_beta 90.00
_cell_angle_gamma 90.00
_symmetry_space_group_name_H-M 'P m m m'
_symmetry_Int_Tables_number 47
loop_
_symmetry_equiv_pos_as_xyz
'x,y,z'
'-x,-y,-z'
'-x,-y,z'
'x,y,-z'
'x,-y,-z'
'-x,y,z'
'-x,y,-z'
'x,-y,z'
loop_
_atom_site_label
_atom_site_fract_x
_atom_site_fract_y
_atom_site_fract_z
Ta1 0.000 0.000 0.000
Ta2 0.500 0.000 0.500
Cr1 0.000 0.500 0.500
Os1 0.500 0.500 0.000
```

Number 1: calculated volume 104 Å³ per cell, N(E_F) 2.248 states/eV per cell. Number 2: calculated volume 84 Å³ per cell, N(E_F) 3.457 states/eV per cell. Number 3: calculated volume 101 Å³ per cell, N(E_F) 2.562 states/eV per cell. Number 4: calculated volume 176 Å³ per cell, N(E_F) 3.388 states/eV per cell. Number 5: calculated volume 44 Å³ per cell, N(E_F) 1.742 states/eV per cell. Number 6: calculated volume 72 Å³ per cell, N(E_F) 2.022 states/eV per cell. Number 7: calculated volume 201 Å³ per cell, N(E_F) 1.342 states/eV per cell. Number 8: calculated volume 234 Å³ per cell, N(E_F) 15.538 states/eV per cell. Number 9: calculated volume 130 Å³ per cell, N(E_F) 2.761 states/eV per cell. Number 10: calculated volume 90 Å³ per cell, N(E_F) 3.449 states/eV per cell. Number 11: calculated volume 293 Å³ per cell, N(E_F) 4.868 states/eV per cell. Number 12: calculated volume 60 Å³ per cell, N(E_F) 2.531 states/eV per cell.